DFT (PBE) results for an optimized crystal structure of AcPrSmTh.

Calculated formation energy   191 meV/atom
Spin magnetization   0.000 μB per atom
Energy above the lowest structure with this stoichiometry   0.146 eV per atom

a b c (Å): 8.354 8.354 8.354
angles (deg): 90.00 90.00 90.00
Sites, in units of the cell vectors:
Ac  0.000  0.000  0.000
Ac  0.000  0.500  0.500
Ac  0.500  0.000  0.500
Ac  0.500  0.500  0.000
Pr  0.250  0.250  0.250
Pr  0.250  0.750  0.750
Pr  0.750  0.250  0.750
Pr  0.750  0.750  0.250
Sm  0.250  0.250  0.750
Sm  0.250  0.750  0.250
Sm  0.750  0.250  0.250
Sm  0.750  0.750  0.750
Th  0.000  0.000  0.500
Th  0.000  0.500  0.000
Th  0.500  0.000  0.000
Th  0.500  0.500  0.500